[1]
A relaxed structure of Sb2TeAs. Source: Alexandria, functional GGA-PBEsol.

The structure in CIF format:
```
data_Sb2TeAs
_symmetry_space_group_name_H-M 'P 1'
_symmetry_Int_Tables_number 1
_cell_length_a 7.4905
_cell_length_b 7.4905
_cell_length_c 7.4905
_cell_angle_alpha 32.47
_cell_angle_beta 32.47
_cell_angle_gamma 32.47
loop_
_symmetry_equiv_pos_as_xyz
'x,y,z'
loop_
_atom_site_label
_atom_site_fract_x
_atom_site_fract_y
_atom_site_fract_z
_atom_site_occupancy
Sb1 0.2416 0.2416 0.2416 1
Sb2 0.7584 0.7584 0.7584 1
Te1 0.0000 0.0000 0.0000 1
As1 0.5000 0.5000 0.5000 1
```

As for the space group: R-3m, No. 166. The total energy comes out at -0.1627 Ha/atom. The value obtained for the formation energy from raw total energies is 0.008 eV/atom. As for the crystal system: trigonal.


[2]
A relaxed structure of Ti3SbAs. Source: Alexandria, functional GGA-PBEsol.

The structure in CIF format:
```
data_Ti3SbAs
_symmetry_space_group_name_H-M 'P 1'
_symmetry_Int_Tables_number 1
_cell_length_a 4.6643
_cell_length_b 4.6643
_cell_length_c 4.6643
_cell_angle_alpha 90.00
_cell_angle_beta 90.00
_cell_angle_gamma 90.00
loop_
_symmetry_equiv_pos_as_xyz
'x,y,z'
loop_
_atom_site_label
_atom_site_fract_x
_atom_site_fract_y
_atom_site_fract_z
_atom_site_occupancy
Ti1 0.0000 0.0000 0.5000 1
Ti2 0.0000 0.5000 0.0000 1
Ti3 0.5000 0.0000 0.0000 1
Sb1 0.5000 0.5000 0.5000 1
As1 0.0000 0.0000 0.0000 1
```

As for the space group: Pm-3m, No. 221. The total energy comes out at -0.2551 Ha/atom. The value obtained for the formation energy from raw total energies is -0.016 eV/atom. As for the crystal system: cubic.


[3]
A relaxed structure of Tl2SbAs. Source: Alexandria, functional GGA-PBEsol.

The structure in CIF format:
```
data_Tl2SbAs
_symmetry_space_group_name_H-M 'P 1'
_symmetry_Int_Tables_number 1
_cell_length_a 6.2039
_cell_length_b 6.2039
_cell_length_c 5.4290
_cell_angle_alpha 115.74
_cell_angle_beta 115.74
_cell_angle_gamma 35.64
loop_
_symmetry_equiv_pos_as_xyz
'x,y,z'
loop_
_atom_site_label
_atom_site_fract_x
_atom_site_fract_y
_atom_site_fract_z
_atom_site_occupancy
Tl1 0.0000 0.0000 0.0000 1
Tl2 0.2189 0.2189 0.7281 1
Sb1 0.4356 0.4356 0.4361 1
As1 0.7553 0.7553 0.2690 1
```

As for the space group: Cm, No. 8. The total energy comes out at -0.1357 Ha/atom. The value obtained for the formation energy from raw total energies is 0.039 eV/atom. As for the crystal system: monoclinic.


[4]
A relaxed structure of TlSb2As. Source: Alexandria, functional GGA-PBEsol.

The structure in CIF format:
```
data_TlSb2As
_symmetry_space_group_name_H-M 'P 1'
_symmetry_Int_Tables_number 1
_cell_length_a 5.1655
_cell_length_b 5.1655
_cell_length_c 5.1655
_cell_angle_alpha 60.00
_cell_angle_beta 60.00
_cell_angle_gamma 60.00
loop_
_symmetry_equiv_pos_as_xyz
'x,y,z'
loop_
_atom_site_label
_atom_site_fract_x
_atom_site_fract_y
_atom_site_fract_z
_atom_site_occupancy
Tl1 0.0000 0.0000 0.0000 1
Sb1 0.2500 0.2500 0.2500 1
Sb2 0.7500 0.7500 0.7500 1
As1 0.5000 0.5000 0.5000 1
```

As for the space group: Fm-3m, No. 225. The total energy comes out at -0.1453 Ha/atom. The value obtained for the formation energy from raw total energies is 0.260 eV/atom. As for the crystal system: cubic.


[5]
A relaxed structure of Tl2SbAs. Source: Alexandria, functional GGA-PBEsol.

The structure in CIF format:
```
data_Tl2SbAs
_symmetry_space_group_name_H-M 'P 1'
_symmetry_Int_Tables_number 1
_cell_length_a 7.1970
_cell_length_b 7.1970
_cell_length_c 7.1970
_cell_angle_alpha 148.13
_cell_angle_beta 145.57
_cell_angle_gamma 47.62
loop_
_symmetry_equiv_pos_as_xyz
'x,y,z'
loop_
_atom_site_label
_atom_site_fract_x
_atom_site_fract_y
_atom_site_fract_z
_atom_site_occupancy
Tl1 0.1895 0.1895 0.0000 1
Tl2 0.8105 0.8105 0.0000 1
Sb1 0.5000 0.0000 0.5000 1
As1 0.0000 0.5000 0.5000 1
```

As for the space group: Immm, No. 71. The total energy comes out at -0.1344 Ha/atom. The value obtained for the formation energy from raw total energies is 0.075 eV/atom. As for the crystal system: orthorhombic.


[6]
A relaxed structure of TlSbAs. Source: Alexandria, functional GGA-PBEsol.

The structure in CIF format:
```
data_TlSbAs
_symmetry_space_group_name_H-M 'P 1'
_symmetry_Int_Tables_number 1
_cell_length_a 5.1649
_cell_length_b 5.1649
_cell_length_c 3.2068
_cell_angle_alpha 90.00
_cell_angle_beta 90.00
_cell_angle_gamma 120.00
loop_
_symmetry_equiv_pos_as_xyz
'x,y,z'
loop_
_atom_site_label
_atom_site_fract_x
_atom_site_fract_y
_atom_site_fract_z
_atom_site_occupancy
Tl1 0.0000 0.0000 0.0000 1
Sb1 0.6667 0.3333 0.5000 1
As1 0.3333 0.6667 0.5000 1
```

As for the space group: P-6m2, No. 187. The total energy comes out at -0.1453 Ha/atom. The value obtained for the formation energy from raw total energies is 0.143 eV/atom. As for the crystal system: hexagonal.


[7]
A relaxed structure of TlSbAs. Source: Alexandria, functional GGA-PBEsol.

The structure in CIF format:
```
data_TlSbAs
_symmetry_space_group_name_H-M 'P 1'
_symmetry_Int_Tables_number 1
_cell_length_a 4.9698
_cell_length_b 4.9698
_cell_length_c 4.9698
_cell_angle_alpha 60.00
_cell_angle_beta 60.00
_cell_angle_gamma 60.00
loop_
_symmetry_equiv_pos_as_xyz
'x,y,z'
loop_
_atom_site_label
_atom_site_fract_x
_atom_site_fract_y
_atom_site_fract_z
_atom_site_occupancy
Tl1 0.0000 0.0000 0.0000 1
Sb1 0.2500 0.2500 0.2500 1
As1 0.5000 0.5000 0.5000 1
```

As for the space group: F-43m, No. 216. The total energy comes out at -0.1381 Ha/atom. The value obtained for the formation energy from raw total energies is 0.340 eV/atom. As for the crystal system: cubic.


[8]
A relaxed structure of TlSb2As. Source: Alexandria, functional GGA-PBEsol.

The structure in CIF format:
```
data_TlSb2As
_symmetry_space_group_name_H-M 'P 1'
_symmetry_Int_Tables_number 1
_cell_length_a 5.1729
_cell_length_b 5.1729
_cell_length_c 5.1729
_cell_angle_alpha 60.00
_cell_angle_beta 60.00
_cell_angle_gamma 60.00
loop_
_symmetry_equiv_pos_as_xyz
'x,y,z'
loop_
_atom_site_label
_atom_site_fract_x
_atom_site_fract_y
_atom_site_fract_z
_atom_site_occupancy
Tl1 0.0000 0.0000 0.0000 1
Sb1 0.5000 0.5000 0.5000 1
Sb2 0.7500 0.7500 0.7500 1
As1 0.2500 0.2500 0.2500 1
```

As for the space group: F-43m, No. 216. The total energy comes out at -0.1460 Ha/atom. The value obtained for the formation energy from raw total energies is 0.239 eV/atom. As for the crystal system: cubic.


[9]
A relaxed structure of TlSb2As. Source: Alexandria, functional GGA-PBEsol.

The structure in CIF format:
```
data_TlSb2As
_symmetry_space_group_name_H-M 'P 1'
_symmetry_Int_Tables_number 1
_cell_length_a 3.4338
_cell_length_b 3.4338
_cell_length_c 8.7315
_cell_angle_alpha 90.00
_cell_angle_beta 90.00
_cell_angle_gamma 90.00
loop_
_symmetry_equiv_pos_as_xyz
'x,y,z'
loop_
_atom_site_label
_atom_site_fract_x
_atom_site_fract_y
_atom_site_fract_z
_atom_site_occupancy
Tl1 0.0000 0.0000 0.0000 1
Sb1 0.0000 0.0000 0.4375 1
Sb2 0.5000 0.5000 0.7209 1
As1 0.5000 0.5000 0.2696 1
```

As for the space group: P4mm, No. 99. The total energy comes out at -0.1482 Ha/atom. The value obtained for the formation energy from raw total energies is 0.179 eV/atom. As for the crystal system: tetragonal.


[10]
A relaxed structure of TlSbAs. Source: Alexandria, functional GGA-PBEsol.

The structure in CIF format:
```
data_TlSbAs
_symmetry_space_group_name_H-M 'P 1'
_symmetry_Int_Tables_number 1
_cell_length_a 6.4090
_cell_length_b 6.4090
_cell_length_c 6.4090
_cell_angle_alpha 147.07
_cell_angle_beta 147.07
_cell_angle_gamma 47.26
loop_
_symmetry_equiv_pos_as_xyz
'x,y,z'
loop_
_atom_site_label
_atom_site_fract_x
_atom_site_fract_y
_atom_site_fract_z
_atom_site_occupancy
Tl1 0.0000 0.0000 0.0000 1
Sb1 0.2914 0.2914 0.0000 1
As1 0.6873 0.6873 0.0000 1
```

As for the space group: I4mm, No. 107. The total energy comes out at -0.1487 Ha/atom. The value obtained for the formation energy from raw total energies is 0.052 eV/atom. As for the crystal system: tetragonal.


[11]
A relaxed structure of TlSbAs. Source: Alexandria, functional GGA-PBEsol.

The structure in CIF format:
```
data_TlSbAs
_symmetry_space_group_name_H-M 'P 1'
_symmetry_Int_Tables_number 1
_cell_length_a 3.8023
_cell_length_b 3.8023
_cell_length_c 6.5542
_cell_angle_alpha 90.00
_cell_angle_beta 90.00
_cell_angle_gamma 120.00
loop_
_symmetry_equiv_pos_as_xyz
'x,y,z'
loop_
_atom_site_label
_atom_site_fract_x
_atom_site_fract_y
_atom_site_fract_z
_atom_site_occupancy
Tl1 0.0000 0.0000 0.0000 1
Sb1 0.6667 0.3333 0.4048 1
As1 0.3333 0.6667 0.6478 1
```

As for the space group: P3m1, No. 156. The total energy comes out at -0.1490 Ha/atom. The value obtained for the formation energy from raw total energies is 0.044 eV/atom. As for the crystal system: trigonal.


[12]
A relaxed structure of TlSb2As. Source: Alexandria, functional GGA-PBEsol.

The structure in CIF format:
```
data_TlSb2As
_symmetry_space_group_name_H-M 'P 1'
_symmetry_Int_Tables_number 1
_cell_length_a 5.7835
_cell_length_b 5.7835
_cell_length_c 5.5753
_cell_angle_alpha 110.54
_cell_angle_beta 110.54
_cell_angle_gamma 37.63
loop_
_symmetry_equiv_pos_as_xyz
'x,y,z'
loop_
_atom_site_label
_atom_site_fract_x
_atom_site_fract_y
_atom_site_fract_z
_atom_site_occupancy
Tl1 0.0000 0.0000 0.0000 1
Sb1 0.2129 0.2129 0.6743 1
Sb2 0.7871 0.7871 0.3257 1
As1 0.5000 0.5000 0.5000 1
```

As for the space group: C2/m, No. 12. The total energy comes out at -0.1505 Ha/atom. The value obtained for the formation energy from raw total energies is 0.118 eV/atom. As for the crystal system: monoclinic.


[13]
A relaxed structure of Tl2SbAs. Source: Alexandria, functional GGA-PBEsol.

The structure in CIF format:
```
data_Tl2SbAs
_symmetry_space_group_name_H-M 'P 1'
_symmetry_Int_Tables_number 1
_cell_length_a 9.2300
_cell_length_b 9.2300
_cell_length_c 9.2300
_cell_angle_alpha 23.60
_cell_angle_beta 23.60
_cell_angle_gamma 23.60
loop_
_symmetry_equiv_pos_as_xyz
'x,y,z'
loop_
_atom_site_label
_atom_site_fract_x
_atom_site_fract_y
_atom_site_fract_z
_atom_site_occupancy
Tl1 0.0000 0.0000 0.0000 1
Tl2 0.2389 0.2389 0.2389 1
Sb1 0.7621 0.7621 0.7621 1
As1 0.4887 0.4887 0.4887 1
```

As for the space group: R3m, No. 160. The total energy comes out at -0.1356 Ha/atom. The value obtained for the formation energy from raw total energies is 0.042 eV/atom. As for the crystal system: trigonal.


[14]
A relaxed structure of Tl2SbAs. Source: Alexandria, functional GGA-PBEsol.

The structure in CIF format:
```
data_Tl2SbAs
_symmetry_space_group_name_H-M 'P 1'
_symmetry_Int_Tables_number 1
_cell_length_a 3.7731
_cell_length_b 3.7731
_cell_length_c 7.4432
_cell_angle_alpha 90.00
_cell_angle_beta 90.00
_cell_angle_gamma 90.00
loop_
_symmetry_equiv_pos_as_xyz
'x,y,z'
loop_
_atom_site_label
_atom_site_fract_x
_atom_site_fract_y
_atom_site_fract_z
_atom_site_occupancy
Tl1 0.0000 0.0000 0.0000 1
Tl2 0.5000 0.5000 0.2893 1
Sb1 0.5000 0.5000 0.7160 1
As1 0.0000 0.0000 0.5636 1
```

As for the space group: P4mm, No. 99. The total energy comes out at -0.1353 Ha/atom. The value obtained for the formation energy from raw total energies is 0.049 eV/atom. As for the crystal system: tetragonal.


[15]
A relaxed structure of TlSb2As. Source: Alexandria, functional GGA-PBEsol.

The structure in CIF format:
```
data_TlSb2As
_symmetry_space_group_name_H-M 'P 1'
_symmetry_Int_Tables_number 1
_cell_length_a 6.1038
_cell_length_b 6.1038
_cell_length_c 6.1038
_cell_angle_alpha 145.11
_cell_angle_beta 128.12
_cell_angle_gamma 64.05
loop_
_symmetry_equiv_pos_as_xyz
'x,y,z'
loop_
_atom_site_label
_atom_site_fract_x
_atom_site_fract_y
_atom_site_fract_z
_atom_site_occupancy
Tl1 0.0000 0.0000 0.0000 1
Sb1 0.2870 0.7870 0.5000 1
Sb2 0.7130 0.2130 0.5000 1
As1 0.5000 0.5000 0.0000 1
```

As for the space group: Immm, No. 71. The total energy comes out at -0.1502 Ha/atom. The value obtained for the formation energy from raw total energies is 0.127 eV/atom. As for the crystal system: orthorhombic.


no.,calculated volume (Å³/atom)
1,26.93
2,20.29
3,27.09
4,24.36
5,27.71
6,24.70
7,28.93
8,24.47
9,25.74
10,25.83
11,27.35
12,26.44
13,27.67
14,26.49
15,25.28